A plane-wave DFT calculation with PBE was carried out for crystalline CaEuLu at its relaxed geometry. Values from VASP.

Cell and atoms, written as Quantum ESPRESSO input:
```
&SYSTEM
  ibrav = 0, nat = 3, ntyp = 3
/
ATOMIC_SPECIES
Eu 151.96 Eu.upf
Ca 40.08 Ca.upf
Lu 174.97 Lu.upf
CELL_PARAMETERS angstrom
5.9272 0.0000 0.0000
-2.9636 5.1331 0.0000
0.0000 0.0000 3.5440
ATOMIC_POSITIONS angstrom
Eu 0.0000 3.4221 2.3662
Ca 0.0000 0.0000 3.5212
Lu 2.9636 1.7110 1.2006
```

Polymorph energy (0 for the lowest one) = 33 meV per atom
Magnetic moment = 7.2 μB/f.u.
SG = P3m1